Version i
# Li6Ag2Au

A geometry-optimized Li6Ag2Au structure (PBE, Alexandria via LeMat-Bulk).

It has space group C2/m (No. 12), with a = 4.826 Å, b = 14.204 Å, c = 4.832 Å, α = 90.00°, β = 118.61° and γ = 90.00°. The inequivalent atoms are Li at (0.176, 0.162, 0.336), Li at (0.188, 0.000, 0.842), Ag at (0.000, 0.325, 0.000) and Au at (0.000, 0.500, 0.500).

The value obtained for the mass density is 5.2 g/cm3. The calculation puts the density of states at the Fermi level at 2.6 states/eV/f.u.

Version ii
# Li6Ag2Au

A geometry-optimized Li6Ag2Au structure (PBE, Alexandria via LeMat-Bulk).

It has space group C2/m (No. 12), with a = 13.929 Å, b = 6.314 Å, c = 4.328 Å, α = 90.00°, β = 107.97° and γ = 90.00°. The inequivalent atoms are Li at (0.000, 0.244, 0.000), Li at (0.164, 0.242, 0.663), Ag at (0.167, 0.500, 0.166) and Au at (0.000, 0.000, 0.500).

The value obtained for the mass density is 4.2 g/cm3. The calculation puts the density of states at the Fermi level at 3.8 states/eV/f.u.

Quick one: most stable of them? version i

Version i
# LiAg3Au2

A geometry-optimized LiAg3Au2 structure (PBE, Alexandria via LeMat-Bulk).

It has space group C2/m (No. 12), with a = 16.908 Å, b = 3.093 Å, c = 9.420 Å, α = 90.00°, β = 122.29° and γ = 90.00°. The inequivalent atoms are Li at (0.097, 0.000, 0.203), Ag at (0.070, 0.500, 0.430), Ag at (0.100, 0.000, 0.717), Ag at (0.240, 0.000, 0.613), Au at (0.057, 0.500, 0.932) and Au at (0.229, 0.000, 0.107).

The value obtained for the mass density is 11.6 g/cm3. The calculation puts the density of states at the Fermi level at 1.4 states/eV/f.u.

Version ii
# LiAg3Au2

A geometry-optimized LiAg3Au2 structure (PBE, Alexandria via LeMat-Bulk).

It has space group C2/c (No. 15), with a = 7.264 Å, b = 8.001 Å, c = 7.276 Å, α = 90.00°, β = 100.83° and γ = 90.00°. The inequivalent atoms are Li at (0.000, 0.083, 0.250), Ag at (0.000, 0.407, 0.250), Ag at (0.239, 0.079, 0.997) and Au at (0.123, 0.246, 0.624).

The value obtained for the mass density is 11.6 g/cm3. The calculation puts the density of states at the Fermi level at 1.7 states/eV/f.u.

Quick one: most stable of them? version i

Version i
# LiAg3Au

A geometry-optimized LiAg3Au structure (PBE, Alexandria via LeMat-Bulk).

It has space group P2_1/m (No. 11), with a = 4.769 Å, b = 7.506 Å, c = 5.204 Å, α = 90.00°, β = 93.29° and γ = 90.00°. The inequivalent atoms are Li at (0.180, 0.250, 0.009), Ag at (0.325, 0.750, 0.230), Ag at (0.344, 0.565, 0.744) and Au at (0.150, 0.250, 0.488).

The value obtained for the mass density is 9.4 g/cm3. The calculation puts the density of states at the Fermi level at 1.3 states/eV/f.u.

Version ii
# LiAg3Au

A geometry-optimized LiAg3Au structure (PBE, Alexandria via LeMat-Bulk).

It has space group Pm-3m (No. 221), with a = 5.197 Å, b = 5.197 Å, c = 5.197 Å, α = 90.00°, β = 90.00° and γ = 90.00°. The inequivalent atoms are Li at (0.000, 0.000, 0.000), Ag at (0.000, 0.500, 0.500) and Au at (0.500, 0.500, 0.500).

The value obtained for the mass density is 6.2 g/cm3. The calculation puts the density of states at the Fermi level at 1.4 states/eV/f.u.

Quick one: most stable of them? version i

Version i
# LiAg6Au2

A geometry-optimized LiAg6Au2 structure (PBE, Alexandria via LeMat-Bulk).

It has space group C2/m (No. 12), with a = 7.304 Å, b = 14.293 Å, c = 3.104 Å, α = 90.00°, β = 101.39° and γ = 90.00°. The inequivalent atoms are Li at (0.000, 0.000, 0.000), Ag at (0.166, 0.334, 0.824), Ag at (0.175, 0.500, 0.330) and Au at (0.000, 0.152, 0.500).

The value obtained for the mass density is 11.0 g/cm3. The calculation puts the density of states at the Fermi level at 2.0 states/eV/f.u.

Version ii
# LiAg6Au2

A geometry-optimized LiAg6Au2 structure (PBE, Alexandria via LeMat-Bulk).

It has space group C2/m (No. 12), with a = 12.633 Å, b = 4.111 Å, c = 6.431 Å, α = 90.00°, β = 109.35° and γ = 90.00°. The inequivalent atoms are Li at (0.000, 0.000, 0.000), Ag at (0.110, 0.000, 0.669), Ag at (0.166, 0.500, 0.002), Ag at (0.221, 0.000, 0.332) and Au at (0.054, 0.500, 0.326).

The value obtained for the mass density is 11.0 g/cm3. The calculation puts the density of states at the Fermi level at 1.6 states/eV/f.u.

Quick one: most stable of them? version ii

Version i
# LiAg6Au12

A geometry-optimized LiAg6Au12 structure (PBE, Alexandria via LeMat-Bulk).

It has space group R-3 (No. 148, hexagonal axes), with a = 12.7600 Å, b = 12.7600 Å, c = 7.2004 Å, α = 90.00°, β = 90.00° and γ = 120.00°. The inequivalent atoms are Li at (0.0000, 0.0000, 0.0000), Ag at (0.0172, 0.8778, 0.6653), Au at (0.0348, 0.7544, 0.3264) and Au at (0.0748, 0.5118, 0.6681).

The value obtained for the mass density is 14.8 g/cm3. The calculation puts the density of states at the Fermi level at 2.7 states/eV/f.u.

Version ii
# LiAg6Au12

A geometry-optimized LiAg6Au12 structure (PBE, Alexandria via LeMat-Bulk).

It has space group R-3 (No. 148, hexagonal axes), with a = 11.3832 Å, b = 11.3832 Å, c = 9.5225 Å, α = 90.00°, β = 90.00° and γ = 120.00°. The inequivalent atoms are Li at (0.0000, 0.0000, 0.0000), Ag at (0.0674, 0.1685, 0.7430), Au at (0.0097, 0.2502, 0.0135) and Au at (0.0653, 0.5062, 0.1229).

The value obtained for the mass density is 14.1 g/cm3. The calculation puts the density of states at the Fermi level at 6.0 states/eV/f.u.

Quick one: most stable of them? version i

Version i
# Li4Ag2Au

A geometry-optimized Li4Ag2Au structure (PBE, Alexandria via LeMat-Bulk).

It has space group Cmmm (No. 65), with a = 6.381 Å, b = 8.901 Å, c = 4.382 Å, α = 90.00°, β = 90.00° and γ = 90.00°. The inequivalent atoms are Li at (0.223, 0.000, 0.000), Li at (0.250, 0.250, 0.500), Ag at (0.000, 0.273, 0.000) and Au at (0.000, 0.500, 0.500).

The value obtained for the mass density is 5.9 g/cm3. The calculation puts the density of states at the Fermi level at 1.9 states/eV/f.u.

Version ii
# Li4Ag2Au

A geometry-optimized Li4Ag2Au structure (PBE, Alexandria via LeMat-Bulk).

It has space group I-42d (No. 122), with a = 7.837 Å, b = 7.837 Å, c = 7.773 Å, α = 90.00°, β = 90.00° and γ = 90.00°. The inequivalent atoms are Li at (0.075, 0.677, 0.461), Ag at (0.112, 0.750, 0.125) and Au at (0.000, 0.000, 0.500).

The value obtained for the mass density is 6.1 g/cm3. The calculation puts the density of states at the Fermi level at 2.8 states/eV/f.u.

Quick one: most stable of them? version i

Version i
# Li4Ag2Au5

A geometry-optimized Li4Ag2Au5 structure (PBE, Alexandria via LeMat-Bulk).

It has space group C2/m (No. 12), with a = 9.173 Å, b = 4.095 Å, c = 10.024 Å, α = 90.00°, β = 103.98° and γ = 90.00°. The inequivalent atoms are Li at (0.049, 0.000, 0.331), Li at (0.188, 0.500, 0.776), Ag at (0.088, 0.500, 0.139), Au at (0.000, 0.500, 0.500), Au at (0.134, 0.000, 0.942) and Au at (0.226, 0.000, 0.599).

The value obtained for the mass density is 11.2 g/cm3. The calculation puts the density of states at the Fermi level at 3.2 states/eV/f.u.

Version ii
# Li4Ag2Au5

A geometry-optimized Li4Ag2Au5 structure (PBE, Alexandria via LeMat-Bulk).

It has space group C2/m (No. 12), with a = 19.794 Å, b = 2.801 Å, c = 6.848 Å, α = 90.00°, β = 95.44° and γ = 90.00°. The inequivalent atoms are Li at (0.041, 0.000, 0.346), Li at (0.178, 0.500, 0.478), Ag at (0.090, 0.000, 0.725), Au at (0.000, 0.500, 0.000), Au at (0.137, 0.000, 0.134) and Au at (0.233, 0.000, 0.798).

The value obtained for the mass density is 10.8 g/cm3. The calculation puts the density of states at the Fermi level at 3.3 states/eV/f.u.

Quick one: most stable of them? version i

Version i
# LiAg3Au5

A geometry-optimized LiAg3Au5 structure (PBE, Alexandria via LeMat-Bulk).

It has space group P4/mbm (No. 127), with a = 7.319 Å, b = 7.319 Å, c = 6.423 Å, α = 90.00°, β = 90.00° and γ = 90.00°. The inequivalent atoms are Li at (0.000, 0.500, 0.000), Ag at (0.000, 0.000, 0.000), Ag at (0.123, 0.377, 0.500), Au at (0.000, 0.000, 0.500) and Au at (0.193, 0.693, 0.214).

The value obtained for the mass density is 12.7 g/cm3. The calculation puts the density of states at the Fermi level at 3.5 states/eV/f.u.

Version ii
# LiAg3Au5

A geometry-optimized LiAg3Au5 structure (PBE, Alexandria via LeMat-Bulk).

It has space group I4/mcm (No. 140), with a = 7.658 Å, b = 7.658 Å, c = 11.527 Å, α = 90.00°, β = 90.00° and γ = 90.00°. The inequivalent atoms are Li at (0.000, 0.500, 0.250), Ag at (0.000, 0.000, 0.250), Ag at (0.118, 0.382, 0.000), Au at (0.000, 0.000, 0.000) and Au at (0.191, 0.309, 0.356).

The value obtained for the mass density is 12.9 g/cm3. The calculation puts the density of states at the Fermi level at 2.1 states/eV/f.u.

Quick one: most stable of them? version i